{"formula": "FeRh2Au", "functional": "PBE", "state": "relaxed", "cell": [[2.815, 0.000, 0.000], [0.000, 4.607, 0.000], [0.000, 0.000, 4.644]], "species": ["Fe", "Rh", "Rh", "Au"], "frac_coords": [[0.000, 0.000, 0.000], [0.000, 0.500, 0.500], [0.500, 0.500, 0.000], [0.500, 0.000, 0.500]], "delta_e_f_ev_per_atom": 0.22}

***

{"formula": "FeRh2Au", "functional": "PBE", "state": "relaxed", "cell": [[-3.476, 3.476, 2.644], [3.476, -3.476, 2.644], [3.476, 3.476, -2.644]], "species": ["Fe", "Fe", "Rh", "Rh", "Rh", "Rh", "Au", "Au"], "frac_coords": [[0.000, 0.000, 0.000], [0.750, 0.250, 0.500], [0.083, 0.125, 0.458], [0.375, 0.917, 0.042], [0.667, 0.625, 0.542], [0.875, 0.333, 0.958], [0.250, 0.750, 0.500], [0.500, 0.500, 0.000]], "delta_e_f_ev_per_atom": 0.40}